KCa2Br: relaxed, PBE.

Cell lengths 8.8878, 8.8878, 8.8878 Å; angles 90.00, 90.00, 90.00 degrees
Space group Fm-3m (No. 225)
Unique sites:
K 0.0000 0.0000 0.0000 [4 per cell]
Ca 0.2500 0.2500 0.2500 [8 per cell]
Br 0.0000 0.0000 0.5000 [4 per cell]

Values from the calculation:
Excess energy over the best structure of this formula in the dataset = 581 meV per atom
VASP energy = -0.0660 Ha/atom